This record from the Alexandria database describes an optimized crystal structure of YMnCl2. The functional is PBE-GGA.

Unit cell a=4.607 b=4.607 c=9.414 alpha=75.84 beta=75.84 gamma=90.00
Element x y z (fractional)
Y (0.750, 0.250, 0.500)
Mn (0.250, 0.750, 0.500)
Y (0.000, 0.000, 0.000)
Cl (0.623, 0.125, 0.250)
Mn (0.500, 0.500, 0.000)
Cl (0.875, 0.873, 0.750)
Cl (0.127, 0.625, 0.250)
Cl (0.375, 0.377, 0.750)

Space-group type   No. 122
DFT total energy   -5.491 eV/atom
Uncorrected formation energy   -0.660 eV per atom
Density of states at the Fermi level   2.9 states/eV per cell

---

This record from the Alexandria database describes an optimized crystal structure of K2UBiS5. The functional is PBE-GGA.

Unit cell a=4.203 b=8.878 c=14.997 alpha=90.00 beta=90.00 gamma=103.69
Element x y z (fractional)
S (0.733, 0.466, 0.139)
U (0.224, 0.448, 0.029)
K (0.087, 0.173, 0.665)
Bi (0.466, 0.933, 0.442)
S (0.695, 0.391, 0.917)
U (0.776, 0.552, 0.529)
S (0.505, 0.009, 0.280)
Bi (0.534, 0.067, 0.942)
K (0.913, 0.827, 0.165)
S (0.495, 0.991, 0.780)
S (0.634, 0.268, 0.493)
K (0.143, 0.287, 0.299)
S (0.925, 0.850, 0.559)
S (0.075, 0.150, 0.059)
S (0.305, 0.609, 0.417)
K (0.857, 0.713, 0.799)
S (0.366, 0.732, 0.993)
S (0.267, 0.534, 0.639)

Space-group type   No. 36
DFT total energy   -5.243 eV/atom
Uncorrected formation energy   -1.021 eV per atom
Density of states at the Fermi level   8.1 states/eV per cell

---

This record from the Alexandria database describes an optimized crystal structure of LaYZr2. The functional is PBE-GGA.

Unit cell a=7.494 b=5.935 c=3.351 alpha=89.98 beta=63.48 gamma=120.35
Element x y z (fractional)
La (0.000, 0.500, 0.500)
Zr (0.000, 0.000, 0.000)
Y (0.500, 0.500, 0.000)
Zr (0.500, 0.000, 0.500)

Space-group type   No. 65
DFT total energy   -6.943 eV/atom
Formation energy from the elements   0.7 eV/f.u.
Density of states at the Fermi level   4.9 states/eV per cell

---

This record from the Alexandria database describes an optimized crystal structure of RbSmTe3Pb. The functional is PBE-GGA.

Unit cell a=4.549 b=9.596 c=12.210 alpha=108.33 beta=90.00 gamma=90.00
Element x y z (fractional)
Te (0.250, 0.600, 0.891)
Rb (0.250, 0.219, 0.258)
Sm (0.250, 0.636, 0.153)
Pb (0.750, 0.858, 0.439)
Te (0.250, 0.641, 0.418)
Te (0.750, 0.883, 0.202)
Rb (0.750, 0.781, 0.742)
Te (0.750, 0.359, 0.582)
Sm (0.750, 0.364, 0.847)
Te (0.750, 0.400, 0.109)
Pb (0.250, 0.142, 0.561)
Te (0.250, 0.117, 0.798)

Space-group type   No. 11
DFT total energy   -4.145 eV/atom
Uncorrected formation energy   -1.008 eV per atom